BaReMo2 after structural relaxation, computed with PBE.

Summary:
- total moment (μB per formula unit) = 0.000
- energy of formation from the pure elements (eV/atom) = 1.25
- calculated volume (Å³/f.u.) = 81.71

a b c (Å): 3.0864 5.2619 10.0624
angles (deg): 90.00 90.00 90.00
With the nearest neighbours (Å) after each atom.
Space group Imm2 (No. 44)
Symmetry-distinct sites (fractional):
Ba: 0.0000 0.0000 0.0000 (multiplicity 2)  8 Mo 3.06-3.41, 2 Ba 3.09, 2 Re 3.19
Re: 0.0000 0.5000 0.2222 (multiplicity 2)  2 Mo 2.50
Mo: 0.0000 0.0000 0.5269 (multiplicity 2)  2 Re 2.50
Mo: 0.0000 0.5000 0.7849 (multiplicity 2)  4 Mo 2.88-3.09, 4 Re 3.11